No. 1
Crystalline HoTiGa3 at its relaxed geometry, computed with GGA-PBE.

Unit cell a=6.6929 b=6.6929 c=6.6929 alpha=130.42 beta=108.43 gamma=92.03
Closest atoms and distances in Å follow each position.
Fractional coordinates of all 10 atoms:
Ho: 0.2507 0.0007 0.2500  7 Ga 3.08-3.21, 4 Ti 3.42
Ho: 0.7493 0.9993 0.7500  7 Ga 3.08-3.21, 4 Ti 3.42
Ti: 0.0000 0.5000 0.5000  6 Ga 2.50-2.73
Ti: 0.5000 0.5000 0.0000  6 Ga 2.50-2.73
Ga: 0.2182 0.0000 0.7182  4 Ga 2.72-2.81, 2 Ti 2.73
Ga: 0.2182 0.5000 0.2182  4 Ga 2.72-2.81, 2 Ti 2.73
Ga: 0.4180 0.6680 0.7500  2 Ti 2.50, 4 Ga 2.72
Ga: 0.5820 0.3320 0.2500  2 Ti 2.50, 4 Ga 2.72
Ga: 0.7818 0.0000 0.2818  4 Ga 2.72-2.81, 2 Ti 2.73
Ga: 0.7818 0.5000 0.7818  4 Ga 2.72-2.81, 2 Ti 2.73

Summary:
crystal system: orthorhombic
energy: -4.594 eV per atom
space group: Imma (74)
ΔE_f: -1.42 eV/f.u.
volume: 20.42 Å³/atom

No. 2
Crystalline Ho3TiGa12 at its relaxed geometry, computed with GGA-PBE.

Unit cell a=4.1960 b=4.1960 c=16.7975 alpha=90.00 beta=90.00 gamma=90.00
Closest atoms and distances in Å follow each position.
Fractional coordinates of all 16 atoms:
Ho: 0.0000 0.0000 0.0000  12 Ga 2.97-3.01
Ho: 0.0000 0.0000 0.2590  12 Ga 2.97-3.03
Ho: 0.0000 0.0000 0.7410  12 Ga 2.97-3.03
Ti: 0.0000 0.0000 0.5000  12 Ga 2.84-2.97
Ga: 0.0000 0.5000 0.1285  8 Ga 2.96-3.01, 4 Ho 3.01-3.03
Ga: 0.0000 0.5000 0.3856  8 Ga 2.84-3.06, 2 Ti 2.84, 2 Ho 2.99
Ga: 0.0000 0.5000 0.6144  8 Ga 2.84-3.06, 2 Ti 2.84, 2 Ho 2.99
Ga: 0.0000 0.5000 0.8715  8 Ga 2.96-3.01, 4 Ho 3.01-3.03
Ga: 0.5000 0.0000 0.1285  8 Ga 2.96-3.01, 4 Ho 3.01-3.03
Ga: 0.5000 0.0000 0.3856  8 Ga 2.84-3.06, 2 Ti 2.84, 2 Ho 2.99
Ga: 0.5000 0.0000 0.6144  8 Ga 2.84-3.06, 2 Ti 2.84, 2 Ho 2.99
Ga: 0.5000 0.0000 0.8715  8 Ga 2.96-3.01, 4 Ho 3.01-3.03
Ga: 0.5000 0.5000 0.0000  4 Ho 2.97, 8 Ga 3.01
Ga: 0.5000 0.5000 0.2530  8 Ga 2.96-3.06, 4 Ho 2.97
Ga: 0.5000 0.5000 0.5000  8 Ga 2.84, 4 Ti 2.97
Ga: 0.5000 0.5000 0.7470  8 Ga 2.96-3.06, 4 Ho 2.97

Summary:
crystal system: tetragonal
energy: -4.095 eV per atom
space group: P4/mmm (123)
ΔE_f: -7.57 eV/f.u.
volume: 18.48 Å³/atom

No. 3
Crystalline HoTi2Ga8 at its relaxed geometry, computed with GGA-PBE.

Unit cell a=6.9449 b=6.9449 c=5.1767 alpha=99.96 beta=99.96 gamma=116.57
Closest atoms and distances in Å follow each position.
Fractional coordinates of all 11 atoms:
Ho: 0.0000 0.0000 0.0000  8 Ga 2.89-3.07
Ti: 0.2835 0.7165 0.5000  8 Ga 2.61-2.87
Ti: 0.7165 0.2835 0.5000  8 Ga 2.61-2.87
Ga: 0.1195 0.3347 0.6577  3 Ga 2.54-2.78, 2 Ti 2.62-2.71
Ga: 0.2531 0.7469 0.0000  2 Ti 2.61, 2 Ga 2.74
Ga: 0.3347 0.1195 0.6577  3 Ga 2.54-2.78, 2 Ti 2.62-2.71
Ga: 0.4173 0.4173 0.2353  3 Ga 2.61-2.78, 2 Ti 2.87, 1 Ho 2.89
Ga: 0.5827 0.5827 0.7647  3 Ga 2.61-2.78, 2 Ti 2.87, 1 Ho 2.89
Ga: 0.6653 0.8805 0.3423  3 Ga 2.54-2.78, 2 Ti 2.62-2.71
Ga: 0.7469 0.2531 0.0000  2 Ti 2.61, 2 Ga 2.74
Ga: 0.8805 0.6653 0.3423  3 Ga 2.54-2.78, 2 Ti 2.62-2.71

Summary:
crystal system: monoclinic
energy: -4.228 eV per atom
space group: C2/m (12)
ΔE_f: -1.93 eV/f.u.
volume: 19.17 Å³/atom

Q: Among the records above, which one has the highest ΔE_f?
A: HoTiGa3